# Mg2NiH6Ir, relaxed, DFT PBE
# VASP energy = -4.003 eV/atom
# N(E_F) = 0.4 states/eV per cell
# spin magnetization = 0.0 μB per cell
# V = 8.195 Å³/atom
data_Mg2NiH6Ir
_chemical_formula_sum 'Mg2 Ni1 H6 Ir1'
_cell_length_a 4.877
_cell_length_b 4.877
_cell_length_c 4.870
_cell_angle_alpha 119.96
_cell_angle_beta 119.96
_cell_angle_gamma 90.08
_symmetry_space_group_name_H-M 'P 1'
_symmetry_Int_Tables_number 1
loop_
_symmetry_equiv_pos_as_xyz
'x,y,z'
loop_
_atom_site_label
_atom_site_type_symbol
_atom_site_fract_x
_atom_site_fract_y
_atom_site_fract_z
Mg1 Mg 0.250 0.750 0.000
Mg2 Mg 0.750 0.250 0.000
Ni1 Ni 0.000 0.000 0.500
H1 H 0.222 0.222 0.454
H2 H 0.245 0.755 0.500
H3 H 0.266 0.266 0.990
H4 H 0.734 0.734 0.010
H5 H 0.755 0.245 0.500
H6 H 0.778 0.778 0.546
Ir1 Ir 0.500 0.500 0.500

=====

# RbNa2SCl, relaxed, DFT PBE
# energy above the lowest structure with this stoichiometry = 0.00 eV per formula unit
# formation energy from raw total energies = -1.33 eV/atom
# VASP energy = -3.244 eV/atom
# N(E_F) = 0.0 states/eV per cell
# spin magnetization = 0.0 μB per cell
# V = 28.259 Å³/atom
data_RbNa2SCl
_chemical_formula_sum 'Rb2 Na4 S2 Cl2'
_cell_length_a 7.962
_cell_length_b 4.298
_cell_length_c 8.284
_cell_angle_alpha 90.00
_cell_angle_beta 94.56
_cell_angle_gamma 90.00
_symmetry_space_group_name_H-M 'P 1'
_symmetry_Int_Tables_number 1
loop_
_symmetry_equiv_pos_as_xyz
'x,y,z'
loop_
_atom_site_label
_atom_site_type_symbol
_atom_site_fract_x
_atom_site_fract_y
_atom_site_fract_z
Rb1 Rb 0.003 0.250 0.240
Rb2 Rb 0.997 0.750 0.760
Na1 Na 0.364 0.250 0.928
Na2 Na 0.442 0.250 0.316
Na3 Na 0.558 0.750 0.684
Na4 Na 0.636 0.750 0.072
S1 S 0.289 0.750 0.113
S2 S 0.711 0.250 0.887
Cl1 Cl 0.279 0.250 0.599
Cl2 Cl 0.721 0.750 0.401

=====

What is the VASP energy in the second record? -3.244 eV/atom

=====

Look up the N(E_F) of the first one. 0.4 states/eV per cell

=====

The lowest N(E_F) belongs to which entry? RbNa2SCl

=====

Which value of N(E_F) does entry 2 give? 0.0 states/eV per cell